# CaPrAgRu

Crystalline CaPrAgRu at its relaxed geometry (PBE, the Alexandria database).

Lattice parameters (Å, degrees): 5.089 5.089 5.089 60.00 60.00 60.00
Element x y z (fractional)
Ca: 0.000 0.000 0.000
Pr: 0.500 0.500 0.500
Ag: 0.250 0.250 0.250
Ru: 0.750 0.750 0.750

Output
total moment	0.0000	μB per atom
formation energy	-61.1	meV/atom
V	93.21	Å³ per cell
N(E_F)	2.3	states/eV per cell
electronic total energy	-4.788	eV/atom